Ce2Tl2Cd | PBE | relaxed

a = 11.6697 Å, b = 6.0987 Å, c = 8.6318 Å
α = 90.00°, β = 114.93°, γ = 90.00°
With the nearest neighbours (Å) after each atom.
Space group C2/c (No. 15)
Unique sites:
Ce1 0.1436 0.1328 0.4746  1 Ce 2.74
Tl1 0.1492 0.3627 0.1315  2 Cd 3.02-3.09, 5 Ce 3.24-3.36
Cd1 0.0000 0.3112 0.7500  4 Tl 3.02-3.09, 2 Ce 3.34

Calculated values
The value obtained for the volume is 139.3 Å³/f.u. For the energy above the most stable polymorph in this dataset, the calculation gives 11 meV per atom. As for the formation energy: -15.93 kJ/mol of atoms.

***

DySnOs | PBE | relaxed

a = 11.8260 Å, b = 4.6586 Å, c = 4.6658 Å
α = 90.00°, β = 90.00°, γ = 90.00°
With the nearest neighbours (Å) after each atom.
Space group Amm2 (No. 38)
Unique sites:
Dy1 0.1448 0.0000 0.0000  4 Os 2.89
Sn1 0.3611 0.0000 0.5017  4 Os 2.85-2.86
Os1 0.0000 0.0000 0.4999  8 Dy 2.89
Os2 0.5000 0.0000 0.0024  8 Sn 2.85-2.86

Calculated values
The value obtained for the volume is 64.3 Å³/f.u. As for the formation energy: -12.60 kJ/mol of atoms.

***

Ba2CdAgH | PBE | relaxed

a = 5.8845 Å, b = 5.8845 Å, c = 4.1867 Å
α = 90.00°, β = 90.00°, γ = 90.00°
With the nearest neighbours (Å) after each atom.
Space group P4/mmm (No. 123)
Unique sites:
Ba1 0.0000 0.5000 0.0000  2 H 2.94
Cd1 0.0000 0.0000 0.5000  8 Ba 3.61
Ag1 0.5000 0.5000 0.5000  2 H 2.09
H1 0.5000 0.5000 0.0000  2 Ag 2.09

Calculated values
The value obtained for the volume is 145.0 Å³/f.u. For the energy above the most stable polymorph in this dataset, the calculation gives 0 meV per atom.

***

CaNd3Tl | PBE | relaxed

a = 5.4373 Å, b = 8.8654 Å, c = 7.1835 Å
α = 90.00°, β = 90.00°, γ = 90.00°
With the nearest neighbours (Å) after each atom.
Space group Pmmn (No. 59, origin choice 2)
Unique sites:
Ca1 0.2500 0.2500 0.2348  2 Tl 3.34, 2 Nd 3.49
Nd1 0.2500 0.0567 0.7289  1 Tl 3.19, 3 Nd 3.43-3.52
Nd2 0.2500 0.7500 0.0700  1 Tl 3.06
Tl1 0.2500 0.7500 0.4962  3 Nd 3.06-3.19, 2 Ca 3.34

Calculated values
The value obtained for the volume is 173.1 Å³/f.u. As for the formation energy: -5.97 kJ/mol of atoms.

***

Tb15Pm4Mg | PBE | relaxed

a = 5.0387 Å, b = 5.0387 Å, c = 25.2271 Å
α = 90.00°, β = 90.00°, γ = 90.00°
With the nearest neighbours (Å) after each atom.
Space group P4/mmm (No. 123)
Unique sites:
Tb1 0.0000 0.0000 0.0000  8 Tb 3.51, 4 Mg 3.56
Tb2 0.0000 0.0000 0.1955  8 Tb 3.54-3.61, 4 Pm 3.56
Tb3 0.0000 0.0000 0.3986  4 Pm 3.56, 8 Tb 3.58-3.59
Tb4 0.0000 0.5000 0.0970  8 Tb 3.51-3.56, 2 Mg 3.51, 2 Pm 3.57
Tb5 0.0000 0.5000 0.2979  8 Tb 3.56-3.61, 4 Pm 3.58
Tb6 0.0000 0.5000 0.5000  8 Tb 3.56-3.59, 4 Pm 3.58
Pm1 0.5000 0.5000 0.1971  12 Tb 3.56-3.58
Pm2 0.5000 0.5000 0.3990  12 Tb 3.56-3.58
Mg1 0.5000 0.5000 0.0000  12 Tb 3.51-3.56

Calculated values
The value obtained for the volume is 640.5 Å³/f.u. As for the formation energy: 1.74 kJ/mol of atoms.

***

HgRh2Se | PBE | relaxed

a = 7.0425 Å, b = 7.0425 Å, c = 5.9662 Å
α = 90.00°, β = 90.00°, γ = 90.00°
With the nearest neighbours (Å) after each atom.
Space group I-42d (No. 122)
Unique sites:
Hg1 0.0000 0.0000 0.0000  8 Rh 2.86-3.17, 2 Se 2.98
Rh1 0.1972 0.2500 0.6250  2 Se 2.36
Se1 0.0000 0.0000 0.5000  4 Rh 2.36

Calculated values
The calculation puts the raw formation energy at 199 meV/atom. The value obtained for the volume is 74.0 Å³/f.u.

***

| no. | DFT total energy (eV per cell) |
| --- | --- |
| 1 | -73.363 |
| 2 | -80.906 |
| 3 | -12.240 |
| 4 | -37.962 |
| 5 | -89.691 |
| 6 | -70.765 |